# 1
# TcTeAs2 meta-GGA SCAN PBEsol geometry
# ρ = 8.1 g/cm³
# E_tot = -110.75 eV/cell
# space group = No. 35
# raw formation energy = 0.48 eV/atom
data_TcTeAs2
_cell_length_a 2.9895
_cell_length_b 2.9895
_cell_length_c 9.4346
_cell_angle_alpha 90.00
_cell_angle_beta 90.00
_cell_angle_gamma 114.51
_space_group_name_H-M_alt 'P 1'
_space_group_IT_number 1
loop_
_space_group_symop_operation_xyz
'x,y,z'
loop_
_atom_site_label
_atom_site_fract_x
_atom_site_fract_y
_atom_site_fract_z
Tc1 0.0000 0.0000 0.0000
Te1 0.5000 0.5000 0.7619
As1 0.0000 0.0000 0.4651
As2 0.5000 0.5000 0.1928

***

# 2
# Tc2TeAs meta-GGA SCAN PBEsol geometry
# ρ = 9.7 g/cm³
# E_tot = -127.53 eV/cell
# space group = No. 8
# raw formation energy = 0.01 eV/atom
data_Tc2TeAs
_cell_length_a 4.5520
_cell_length_b 4.5520
_cell_length_c 5.1686
_cell_angle_alpha 103.69
_cell_angle_beta 103.69
_cell_angle_gamma 41.43
_space_group_name_H-M_alt 'P 1'
_space_group_IT_number 1
loop_
_space_group_symop_operation_xyz
'x,y,z'
loop_
_atom_site_label
_atom_site_fract_x
_atom_site_fract_y
_atom_site_fract_z
Tc1 0.0000 0.0000 0.0000
Tc2 0.2237 0.2237 0.6042
Te1 0.7458 0.7458 0.1999
As1 0.5113 0.5113 0.6387

***

# 3
# TcTeAs meta-GGA SCAN PBEsol geometry
# ρ = 7.9 g/cm³
# E_tot = -89.77 eV/cell
# space group = No. 216
# raw formation energy = 0.91 eV/atom
data_TcTeAs
_cell_length_a 4.4748
_cell_length_b 4.4748
_cell_length_c 4.4748
_cell_angle_alpha 60.00
_cell_angle_beta 60.00
_cell_angle_gamma 60.00
_space_group_name_H-M_alt 'P 1'
_space_group_IT_number 1
loop_
_space_group_symop_operation_xyz
'x,y,z'
loop_
_atom_site_label
_atom_site_fract_x
_atom_site_fract_y
_atom_site_fract_z
Tc1 0.0000 0.0000 0.0000
Te1 0.7500 0.7500 0.7500
As1 0.5000 0.5000 0.5000

***

# 4
# TlTcAs3 meta-GGA SCAN PBEsol geometry
# ρ = 6.5 g/cm³
# E_tot = -159.30 eV/cell
# space group = No. 221
# formation energy = 1.738 eV per atom
data_TlTcAs3
_cell_length_a 5.1335
_cell_length_b 5.1335
_cell_length_c 5.1335
_cell_angle_alpha 90.00
_cell_angle_beta 90.00
_cell_angle_gamma 90.00
_space_group_name_H-M_alt 'P 1'
_space_group_IT_number 1
loop_
_space_group_symop_operation_xyz
'x,y,z'
loop_
_atom_site_label
_atom_site_fract_x
_atom_site_fract_y
_atom_site_fract_z
Tl1 0.0000 0.0000 0.0000
Tc1 0.5000 0.5000 0.5000
As1 0.0000 0.0000 0.5000
As2 0.0000 0.5000 0.0000
As3 0.5000 0.0000 0.0000

***

# 5
# YTc2As meta-GGA SCAN PBEsol geometry
# ρ = 9.0 g/cm³
# E_tot = -117.50 eV/cell
# space group = No. 12
# formation energy = 0.164 eV per atom
data_YTc2As
_cell_length_a 5.3391
_cell_length_b 5.3391
_cell_length_c 2.9340
_cell_angle_alpha 105.35
_cell_angle_beta 105.35
_cell_angle_gamma 114.75
_space_group_name_H-M_alt 'P 1'
_space_group_IT_number 1
loop_
_space_group_symop_operation_xyz
'x,y,z'
loop_
_atom_site_label
_atom_site_fract_x
_atom_site_fract_y
_atom_site_fract_z
Y1 0.0000 0.0000 0.0000
Tc1 0.0000 0.5000 0.5000
Tc2 0.5000 0.0000 0.5000
As1 0.5000 0.5000 0.0000

***

# 6
# YTcAs2 meta-GGA SCAN PBEsol geometry
# ρ = 7.4 g/cm³
# E_tot = -105.93 eV/cell
# space group = No. 44
# formation energy = -0.662 eV per atom
data_YTcAs2
_cell_length_a 6.8635
_cell_length_b 6.8635
_cell_length_c 6.8635
_cell_angle_alpha 152.73
_cell_angle_beta 149.48
_cell_angle_gamma 41.38
_space_group_name_H-M_alt 'P 1'
_space_group_IT_number 1
loop_
_space_group_symop_operation_xyz
'x,y,z'
loop_
_atom_site_label
_atom_site_fract_x
_atom_site_fract_y
_atom_site_fract_z
Y1 0.0000 0.0000 0.0000
Tc1 0.2449 0.7449 0.5000
As1 0.3901 0.3901 0.0000
As2 0.6685 0.1685 0.5000

***

# 7
# YTcAs2 meta-GGA SCAN PBEsol geometry
# ρ = 7.4 g/cm³
# E_tot = -106.11 eV/cell
# space group = No. 166
# formation energy = -0.705 eV per atom
data_YTcAs2
_cell_length_a 6.0320
_cell_length_b 6.0320
_cell_length_c 6.0320
_cell_angle_alpha 38.23
_cell_angle_beta 38.23
_cell_angle_gamma 38.23
_space_group_name_H-M_alt 'P 1'
_space_group_IT_number 1
loop_
_space_group_symop_operation_xyz
'x,y,z'
loop_
_atom_site_label
_atom_site_fract_x
_atom_site_fract_y
_atom_site_fract_z
Y1 0.0000 0.0000 0.0000
Tc1 0.5000 0.5000 0.5000
As1 0.2328 0.2328 0.2328
As2 0.7672 0.7672 0.7672

***

# 8
# YTc2As meta-GGA SCAN PBEsol geometry
# ρ = 8.6 g/cm³
# E_tot = -118.72 eV/cell
# space group = No. 12
# formation energy = -0.142 eV per atom
data_YTc2As
_cell_length_a 4.8090
_cell_length_b 4.8090
_cell_length_c 4.8665
_cell_angle_alpha 104.90
_cell_angle_beta 104.90
_cell_angle_gamma 39.93
_space_group_name_H-M_alt 'P 1'
_space_group_IT_number 1
loop_
_space_group_symop_operation_xyz
'x,y,z'
loop_
_atom_site_label
_atom_site_fract_x
_atom_site_fract_y
_atom_site_fract_z
Y1 0.0000 0.0000 0.0000
Tc1 0.2278 0.2278 0.6795
Tc2 0.7722 0.7722 0.3205
As1 0.5000 0.5000 0.5000

***

Result set for magnetization: 0.0, 0.0, 0.3, 2.6, 0.0, 0.0, 1.4, 0.0 Bohr magnetons per cell, one per record in the order listed.